The following is a DFT calculation (PBE-GGA) of a relaxed structure of LaTbCu2S4.

a = 6.531 Å, b = 6.068 Å, c = 6.068 Å
α = 68.04°, β = 57.44°, γ = 57.44°
Fractional coordinates of all 8 atoms:
La: 0.000 0.000 0.000
Tb: 0.500 0.500 0.500
Cu: 0.171 0.329 0.329
Cu: 0.829 0.671 0.671
S: 0.456 0.081 0.513
S: 0.049 0.919 0.487
S: 0.951 0.513 0.081
S: 0.544 0.487 0.919

Properties
SG: I222
Formation energy from raw total energies in meV/atom: -1276